Density functional theory data (PBE) for a geometry-optimized AcYHo structure.

Unit cell a=5.652 b=5.652 c=5.652 alpha=60.00 beta=60.00 gamma=60.00
Sites, in units of the cell vectors:
Ac 0.250 0.250 0.250
Ho 0.000 0.000 0.000
Y 0.750 0.750 0.750

Results
- Formation enthalpy at 0 K: 682 meV per atom
- Space-group type: F-43m, No. 216
- Relative energy among the computed polymorphs: 0.0 kJ/mol of atoms

Density functional theory data (PBE) for a geometry-optimized AcHoZn structure.

Unit cell a=5.224 b=5.224 c=5.224 alpha=60.00 beta=60.00 gamma=60.00
Sites, in units of the cell vectors:
Ac 0.000 0.000 0.000
Ho 0.250 0.250 0.250
Zn 0.750 0.750 0.750

Results
- Formation enthalpy at 0 K: 673 meV per atom
- Space-group type: F-43m, No. 216
- Relative energy among the computed polymorphs: 59.1 kJ/mol of atoms

Density functional theory data (PBE) for a geometry-optimized AcHoZn structure.

Unit cell a=5.165 b=5.165 c=5.165 alpha=60.00 beta=60.00 gamma=60.00
Sites, in units of the cell vectors:
Ac 0.250 0.250 0.250
Ho 0.750 0.750 0.750
Zn 0.000 0.000 0.000

Results
- Formation enthalpy at 0 K: 60 meV per atom
- Space-group type: F-43m, No. 216
- Relative energy among the computed polymorphs: 0.0 kJ/mol of atoms

Density functional theory data (PBE) for a geometry-optimized AcHoZr structure.

Unit cell a=5.380 b=5.380 c=5.380 alpha=60.00 beta=60.00 gamma=60.00
Sites, in units of the cell vectors:
Ac 0.750 0.750 0.750
Ho 0.000 0.000 0.000
Zr 0.250 0.250 0.250

Results
- Formation enthalpy at 0 K: 940 meV per atom
- Space-group type: F-43m, No. 216
- Relative energy among the computed polymorphs: 0.0 kJ/mol of atoms

Density functional theory data (PBE) for a geometry-optimized AcHoZr structure.

Unit cell a=5.407 b=5.407 c=5.407 alpha=60.00 beta=60.00 gamma=60.00
Sites, in units of the cell vectors:
Ac 0.000 0.000 0.000
Ho 0.250 0.250 0.250
Zr 0.750 0.750 0.750

Results
- Formation enthalpy at 0 K: 1103 meV per atom
- Space-group type: F-43m, No. 216
- Relative energy among the computed polymorphs: 15.7 kJ/mol of atoms

Density functional theory data (PBE) for a geometry-optimized Ac4OsI5 structure.

Unit cell a=10.623 b=10.623 c=9.732 alpha=103.83 beta=103.83 gamma=24.41
Sites, in units of the cell vectors:
Ac 0.643 0.643 0.081
Ac 0.999 0.999 0.208
Ac 0.001 0.001 0.792
Ac 0.357 0.357 0.919
I 0.824 0.824 0.163
I 0.169 0.169 0.350
I 0.500 0.500 0.500
I 0.831 0.831 0.650
I 0.176 0.176 0.837
Os 0.500 0.500 0.000

Results
- Electronic total energy: -46.523 eV/cell
- Space-group type: C2/m, No. 12

Density functional theory data (PBE) for a geometry-optimized AcTh3I structure.

Unit cell a=5.883 b=5.883 c=5.883 alpha=90.00 beta=90.00 gamma=90.00
Sites, in units of the cell vectors:
Ac 0.000 0.000 0.000
I 0.500 0.500 0.500
Th 0.500 0.500 0.000
Th 0.500 0.000 0.500
Th 0.000 0.500 0.500

Results
- Electronic total energy: -26.127 eV/cell
- Space-group type: Pm-3m, No. 221

Density functional theory data (PBE) for a geometry-optimized Ac3ZnI structure.

Unit cell a=6.168 b=6.168 c=6.168 alpha=90.00 beta=90.00 gamma=90.00
Sites, in units of the cell vectors:
Ac 0.500 0.000 0.000
Ac 0.000 0.500 0.000
Ac 0.000 0.000 0.500
I 0.000 0.000 0.000
Zn 0.500 0.500 0.500

Results
- Electronic total energy: -13.869 eV/cell
- Space-group type: Pm-3m, No. 221

Density functional theory data (PBE) for a geometry-optimized AcIn5Ir structure.

Unit cell a=4.805 b=4.805 c=7.803 alpha=90.00 beta=90.00 gamma=90.00
Sites, in units of the cell vectors:
Ac 0.000 0.000 0.000
In 0.500 0.500 0.000
In 0.500 0.000 0.311
In 0.000 0.500 0.311
In 0.500 0.000 0.689
In 0.000 0.500 0.689
Ir 0.000 0.000 0.500

Results
- Electronic total energy: -29.105 eV/cell
- Space-group type: P4/mmm, No. 123

Density functional theory data (PBE) for a geometry-optimized Ac5InIr2 structure.

Unit cell a=9.563 b=9.563 c=9.563 alpha=127.73 beta=127.73 gamma=77.06
Sites, in units of the cell vectors:
Ac 0.000 0.000 0.000
Ac 0.500 0.500 0.000
Ac 0.208 0.708 0.178
Ac 0.470 0.970 0.178
Ac 0.030 0.208 0.500
Ac 0.292 0.470 0.500
Ac 0.708 0.530 0.500
Ac 0.970 0.792 0.500
Ac 0.530 0.030 0.822
Ac 0.792 0.292 0.822
In 0.250 0.250 0.000
In 0.750 0.750 0.000
Ir 0.860 0.360 0.219
Ir 0.360 0.140 0.500
Ir 0.640 0.860 0.500
Ir 0.140 0.640 0.781

Results
- Electronic total energy: -90.391 eV/cell
- Space-group type: I4/mcm, No. 140

Density functional theory data (PBE) for a geometry-optimized AcInIr structure.

Unit cell a=5.106 b=5.106 c=5.106 alpha=60.00 beta=60.00 gamma=60.00
Sites, in units of the cell vectors:
Ac 0.000 0.000 0.000
In 0.250 0.250 0.250
Ir 0.750 0.750 0.750

Results
- Space-group type: F-43m, No. 216
- Relative energy among the computed polymorphs: 98.7 kJ/mol of atoms

Density functional theory data (PBE) for a geometry-optimized Ac4InIr2 structure.

Unit cell a=7.698 b=7.698 c=14.946 alpha=90.00 beta=90.00 gamma=146.90
Sites, in units of the cell vectors:
Ac 0.500 0.500 0.000
Ac 0.767 0.233 0.108
Ac 0.068 0.932 0.250
Ac 0.767 0.233 0.392
Ac 0.500 0.500 0.500
Ac 0.233 0.767 0.608
Ac 0.932 0.068 0.750
Ac 0.233 0.767 0.892
In 0.389 0.611 0.250
In 0.611 0.389 0.750
Ir 0.132 0.868 0.064
Ir 0.132 0.868 0.436
Ir 0.868 0.132 0.564
Ir 0.868 0.132 0.936

Results
- Electronic total energy: -81.524 eV/cell
- Space-group type: Cmcm, No. 63

Density functional theory data (PBE) for a geometry-optimized AcInIr structure.

Unit cell a=7.598 b=4.455 c=8.875 alpha=90.00 beta=90.00 gamma=90.00
Sites, in units of the cell vectors:
Ac 0.539 0.250 0.180
Ac 0.039 0.250 0.320
Ac 0.961 0.750 0.680
Ac 0.461 0.750 0.820
In 0.863 0.750 0.060
In 0.363 0.750 0.440
In 0.637 0.250 0.560
In 0.137 0.250 0.940
Ir 0.239 0.750 0.129
Ir 0.739 0.750 0.371
Ir 0.261 0.250 0.629
Ir 0.761 0.250 0.871

Results
- Space-group type: Pnma, No. 62
- Relative energy among the computed polymorphs: 0.0 kJ/mol of atoms

Density functional theory data (PBE) for a geometry-optimized AcLuIn structure.

Unit cell a=5.479 b=5.479 c=5.479 alpha=60.00 beta=60.00 gamma=60.00
Sites, in units of the cell vectors:
Ac 0.000 0.000 0.000
In 0.250 0.250 0.250
Lu 0.750 0.750 0.750

Results
- Space-group type: F-43m, No. 216
- Relative energy among the computed polymorphs: 47.4 kJ/mol of atoms

Density functional theory data (PBE) for a geometry-optimized AcLuIn structure.

Unit cell a=5.395 b=5.395 c=5.395 alpha=60.00 beta=60.00 gamma=60.00
Sites, in units of the cell vectors:
Ac 0.500 0.500 0.500
In 0.250 0.250 0.250
Lu 0.000 0.000 0.000

Results
- Space-group type: F-43m, No. 216
- Relative energy among the computed polymorphs: 0.0 kJ/mol of atoms

Density functional theory data (PBE) for a geometry-optimized AcInMo structure.

Unit cell a=5.278 b=5.278 c=5.278 alpha=60.00 beta=60.00 gamma=60.00
Sites, in units of the cell vectors:
Ac 0.000 0.000 0.000
In 0.250 0.250 0.250
Mo 0.750 0.750 0.750

Results
- Electronic total energy: -13.893 eV/cell
- Space-group type: F-43m, No. 216

Density functional theory data (PBE) for a geometry-optimized AcNbIn structure.

Unit cell a=5.104 b=5.104 c=5.104 alpha=60.00 beta=60.00 gamma=60.00
Sites, in units of the cell vectors:
Ac 0.250 0.250 0.250
In 0.750 0.750 0.750
Nb 0.000 0.000 0.000

Results
- Space-group type: F-43m, No. 216
- Relative energy among the computed polymorphs: 0.0 kJ/mol of atoms

Density functional theory data (PBE) for a geometry-optimized AcNbIn structure.

Unit cell a=5.306 b=5.306 c=5.306 alpha=60.00 beta=60.00 gamma=60.00
Sites, in units of the cell vectors:
Ac 0.000 0.000 0.000
In 0.250 0.250 0.250
Nb 0.750 0.750 0.750

Results
- Space-group type: F-43m, No. 216
- Relative energy among the computed polymorphs: 49.4 kJ/mol of atoms

Density functional theory data (PBE) for a geometry-optimized Ac12InNi6 structure.

Unit cell a=9.262 b=9.262 c=9.262 alpha=109.47 beta=109.47 gamma=109.47
Sites, in units of the cell vectors:
Ac 0.818 0.312 0.130
Ac 0.312 0.494 0.182
Ac 0.688 0.870 0.182
Ac 0.494 0.182 0.312
Ac 0.130 0.818 0.312
Ac 0.182 0.312 0.494
Ac 0.818 0.688 0.506
Ac 0.870 0.182 0.688
Ac 0.506 0.818 0.688
Ac 0.312 0.130 0.818
Ac 0.688 0.506 0.818
Ac 0.182 0.688 0.870
In 0.000 0.000 0.000
Ni 0.618 0.500 0.118
Ni 0.500 0.882 0.382
Ni 0.882 0.382 0.500
Ni 0.118 0.618 0.500
Ni 0.500 0.118 0.618
Ni 0.382 0.500 0.882

Results
- Electronic total energy: -90.180 eV/cell
- Space-group type: Im-3, No. 204

Density functional theory data (PBE) for a geometry-optimized AcInNi structure.

Unit cell a=5.146 b=5.146 c=5.146 alpha=60.00 beta=60.00 gamma=60.00
Sites, in units of the cell vectors:
Ac 0.000 0.000 0.000
In 0.250 0.250 0.250
Ni 0.750 0.750 0.750

Results
- Space-group type: F-43m, No. 216
- Relative energy among the computed polymorphs: 88.1 kJ/mol of atoms

Number 1: calculated volume 128 Å³/f.u.. Number 2: calculated volume 101 Å³/f.u.. Number 3: calculated volume 97 Å³/f.u.. Number 4: calculated volume 110 Å³/f.u.. Number 5: calculated volume 112 Å³/f.u.. Number 6: calculated volume 440 Å³/f.u.. Number 7: calculated volume 204 Å³/f.u.. Number 8: calculated volume 235 Å³/f.u.. Number 9: calculated volume 180 Å³/f.u.. Number 10: calculated volume 265 Å³/f.u.. Number 11: calculated volume 94 Å³/f.u.. Number 12: calculated volume 242 Å³/f.u.. Number 13: calculated volume 75 Å³/f.u.. Number 14: calculated volume 116 Å³/f.u.. Number 15: calculated volume 111 Å³/f.u.. Number 16: calculated volume 104 Å³/f.u.. Number 17: calculated volume 94 Å³/f.u.. Number 18: calculated volume 106 Å³/f.u.. Number 19: calculated volume 612 Å³/f.u.. Number 20: calculated volume 96 Å³/f.u..